# Co2Au2O5 GGA+U optimized geometry
# DFT total energy: -42.03 eV/cell
data_Co2Au2O5
_cell_length_a 3.635
_cell_length_b 3.635
_cell_length_c 8.000
_cell_angle_alpha 90.00
_cell_angle_beta 90.00
_cell_angle_gamma 90.00
_symmetry_space_group_name_H-M 'P 4/m m m'
_symmetry_Int_Tables_number 123
_symmetry_space_group_name_Hall '-P 4 2'
loop_
_atom_site_label
_atom_site_type_symbol
_atom_site_fract_x
_atom_site_fract_y
_atom_site_fract_z
_atom_site_occupancy
Co1 Co 0.000 0.000 0.232 1
Au1 Au 0.500 0.500 0.000 1
Au2 Au 0.500 0.500 0.500 1
O1 O 0.000 0.000 0.000 1
O2 O 0.000 0.500 0.332 1